K2LaTlSe4 | Alexandria via LeMat-Bulk | PBE | optimized geometry; theoretical density = 4.9 g/cm³; VASP energy = -4.081 eV per atom; space-group type = No. 15
1.0
6.187 -6.431 0.000
6.187 6.431 0.000
-5.990 0.000 6.341
K La Tl Se
4 2 2 8
direct
0.000 0.000 0.000 K
0.000 0.000 0.500 K
0.000 0.500 0.000 K
0.500 0.000 0.500 K
0.000 0.500 0.500 La
0.500 0.000 0.000 La
0.500 0.500 0.000 Tl
0.500 0.500 0.500 Tl
0.252 0.742 0.974 Se
0.258 0.748 0.526 Se
0.278 0.294 0.519 Se
0.294 0.278 0.019 Se
0.706 0.722 0.981 Se
0.722 0.706 0.481 Se
0.742 0.252 0.474 Se
0.748 0.258 0.026 Se



KLaTl2Se | Alexandria via LeMat-Bulk | PBE | optimized geometry; theoretical density = 4.7 g/cm³; VASP energy = -3.138 eV per atom; space-group type = No. 123
1.0
6.405 0.000 0.000
0.000 6.405 0.000
0.000 0.000 5.699
K La Tl Se
1 1 2 1
direct
0.000 0.000 0.000 K
0.500 0.500 0.500 La
0.000 0.500 0.500 Tl
0.500 0.000 0.500 Tl
0.500 0.500 0.000 Se



K3LaTm2Se6 | Alexandria via LeMat-Bulk | PBE | optimized geometry; theoretical density = 4.9 g/cm³; VASP energy = -4.944 eV per atom; space-group type = No. 12
1.0
3.687 -6.387 0.000
3.687 6.387 0.000
-2.464 0.000 7.682
K La Tm Se
3 1 2 6
direct
0.000 0.000 0.000 K
0.335 0.665 0.000 K
0.665 0.335 0.000 K
0.500 0.500 0.500 La
0.167 0.833 0.500 Tm
0.833 0.167 0.500 Tm
0.084 0.431 0.295 Se
0.221 0.221 0.705 Se
0.431 0.084 0.295 Se
0.569 0.916 0.705 Se
0.779 0.779 0.295 Se
0.916 0.569 0.705 Se



K4La3TmSe8 | Alexandria via LeMat-Bulk | PBE | optimized geometry; theoretical density = 4.5 g/cm³; VASP energy = -5.023 eV per atom; space-group type = No. 166
1.0
4.375 2.526 7.686
-4.375 2.526 7.686
0.000 -5.051 7.686
K La Tm Se
4 3 1 8
direct
0.000 0.000 0.000 K
0.000 0.500 0.500 K
0.500 0.000 0.500 K
0.500 0.500 0.000 K
0.000 0.000 0.500 La
0.000 0.500 0.000 La
0.500 0.000 0.000 La
0.500 0.500 0.500 Tm
0.238 0.238 0.238 Se
0.249 0.729 0.729 Se
0.271 0.271 0.751 Se
0.271 0.751 0.271 Se
0.729 0.249 0.729 Se
0.729 0.729 0.249 Se
0.751 0.271 0.271 Se
0.762 0.762 0.762 Se



KLa2USe5 | Alexandria via LeMat-Bulk | PBE | optimized geometry; theoretical density = 5.3 g/cm³; VASP energy = -5.977 eV per atom; space-group type = No. 71
1.0
-2.655 3.795 7.395
2.655 -3.795 7.395
2.655 3.795 -7.395
K La U Se
1 2 1 5
direct
0.000 0.000 0.000 K
0.297 0.797 0.500 La
0.703 0.203 0.500 La
0.500 0.500 0.000 U
0.112 0.350 0.762 Se
0.411 0.650 0.762 Se
0.500 0.000 0.500 Se
0.589 0.350 0.238 Se
0.888 0.650 0.238 Se



K3LaU2Se6 | Alexandria via LeMat-Bulk | PBE | optimized geometry; theoretical density = 5.4 g/cm³; VASP energy = -5.727 eV per atom; space-group type = No. 12
1.0
3.724 -6.450 0.000
3.724 6.450 0.000
-2.486 0.000 7.722
K La U Se
3 1 2 6
direct
0.000 0.000 0.000 K
0.335 0.665 0.000 K
0.665 0.335 0.000 K
0.500 0.500 0.500 La
0.167 0.833 0.500 U
0.833 0.167 0.500 U
0.086 0.430 0.290 Se
0.226 0.226 0.709 Se
0.430 0.086 0.290 Se
0.570 0.914 0.710 Se
0.774 0.774 0.291 Se
0.914 0.570 0.710 Se



> Among the records above, which one has the highest theoretical density?

K3LaU2Se6



> What is the theoretical density in the second record?

4.7 g/cm³



> Which formula does entry 5 have?

KLa2USe5